P:
This record from the Alexandria database describes a geometry-optimized CoAuSeN2 structure. The functional is PBE.

Unit cell a=3.7691 b=3.7691 c=7.7644 alpha=90.00 beta=90.00 gamma=90.00
With the nearest neighbours (Å) after each atom.
Atoms (fractional coordinates):
Co (0.0000, 0.0000, 0.0000)  4 Se 2.67
Au (0.5000, 0.5000, 0.5000)  4 N 1.88
Se (0.5000, 0.5000, 0.0000)  4 Co 2.67
N (0.0000, 0.5000, 0.5000)  2 Au 1.88
N (0.5000, 0.0000, 0.5000)  2 Au 1.88

Space-group type   P4/mmm (123)



Q:
This record from the Alexandria database describes a geometry-optimized CoAuSeN2 structure. The functional is PBE.

Unit cell a=3.6063 b=3.6063 c=5.8218 alpha=90.00 beta=90.00 gamma=90.00
With the nearest neighbours (Å) after each atom.
Atoms (fractional coordinates):
Co (0.0000, 0.0000, 0.0000)  4 N 1.80
Au (0.5000, 0.5000, 0.5000)  4 Se 2.55
Se (0.0000, 0.0000, 0.5000)  4 Au 2.55
N (0.0000, 0.5000, 0.0000)  2 Co 1.80
N (0.5000, 0.0000, 0.0000)  2 Co 1.80

Space-group type   P4/mmm (123)



Winner for stability: Q



P:
This record from the Alexandria database describes a geometry-optimized NaCo2Au structure. The functional is PBE.

Unit cell a=4.3926 b=4.3926 c=4.3926 alpha=60.00 beta=60.00 gamma=60.00
With the nearest neighbours (Å) after each atom.
Atoms (fractional coordinates):
Na (0.0000, 0.0000, 0.0000)  8 Co 2.69
Co (0.2500, 0.2500, 0.2500)  4 Na 2.69, 4 Au 2.69
Co (0.7500, 0.7500, 0.7500)  4 Na 2.69, 4 Au 2.69
Au (0.5000, 0.5000, 0.5000)  8 Co 2.69

Space-group type   Fm-3m (225)



Q:
This record from the Alexandria database describes a geometry-optimized NaCo2Au structure. The functional is PBE.

Unit cell a=9.8795 b=9.8795 c=9.8795 alpha=157.28 beta=157.28 gamma=32.34
With the nearest neighbours (Å) after each atom.
Atoms (fractional coordinates):
Na (0.0000, 0.0000, 0.0000)  4 Au 2.75, 4 Co 2.91
Na (0.7500, 0.2500, 0.5000)  4 Au 2.75, 4 Co 2.91
Co (0.2282, 0.6250, 0.1032)  2 Co 2.26
Co (0.3750, 0.4782, 0.6032)  2 Co 2.26
Co (0.5218, 0.1250, 0.8968)  2 Co 2.26
Co (0.8750, 0.7718, 0.3968)  2 Co 2.26
Au (0.2500, 0.7500, 0.5000)  4 Co 2.63, 4 Na 2.75
Au (0.5000, 0.5000, 0.0000)  4 Co 2.63, 4 Na 2.75

Space-group type   I-42d (122)



Winner for stability: P



P:
This record from the Alexandria database describes a geometry-optimized NbCoAu3 structure. The functional is PBE.

Unit cell a=4.6591 b=4.6591 c=4.6591 alpha=90.00 beta=90.00 gamma=90.00
With the nearest neighbours (Å) after each atom.
Atoms (fractional coordinates):
Nb (0.0000, 0.0000, 0.0000)  12 Au 3.29
Co (0.5000, 0.5000, 0.5000)  6 Au 2.33
Au (0.0000, 0.5000, 0.5000)  2 Co 2.33
Au (0.5000, 0.0000, 0.5000)  2 Co 2.33
Au (0.5000, 0.5000, 0.0000)  2 Co 2.33

Space-group type   Pm-3m (221)



Q:
This record from the Alexandria database describes a geometry-optimized NbCoAu3 structure. The functional is PBE.

Unit cell a=5.0992 b=5.0992 c=5.0992 alpha=90.00 beta=90.00 gamma=90.00
With the nearest neighbours (Å) after each atom.
Atoms (fractional coordinates):
Nb (0.0000, 0.0000, 0.0000)  6 Au 2.55
Co (0.5000, 0.5000, 0.5000)  12 Au 3.61
Au (0.0000, 0.0000, 0.5000)  2 Nb 2.55
Au (0.0000, 0.5000, 0.0000)  2 Nb 2.55
Au (0.5000, 0.0000, 0.0000)  2 Nb 2.55

Space-group type   Pm-3m (221)



Winner for stability: P



P:
This record from the Alexandria database describes a geometry-optimized NbCoAu structure. The functional is PBE.

Unit cell a=8.1442 b=8.1442 c=3.8626 alpha=90.00 beta=90.00 gamma=158.45
With the nearest neighbours (Å) after each atom.
Atoms (fractional coordinates):
Nb (0.0901, 0.9099, 0.7500)  6 Co 2.56-2.64
Nb (0.9099, 0.0901, 0.2500)  6 Co 2.56-2.64
Co (0.4551, 0.5449, 0.7500)  2 Co 2.41, 1 Au 2.54, 6 Nb 2.56-2.64
Co (0.5449, 0.4551, 0.2500)  2 Co 2.41, 1 Au 2.54, 6 Nb 2.56-2.64
Au (0.2963, 0.7037, 0.7500)  1 Co 2.54
Au (0.7037, 0.2963, 0.2500)  1 Co 2.54

Space-group type   Cmcm (63)



Q:
This record from the Alexandria database describes a geometry-optimized NbCoAu structure. The functional is PBE.

Unit cell a=4.9632 b=4.9632 c=4.9632 alpha=141.61 beta=141.61 gamma=55.41
With the nearest neighbours (Å) after each atom.
Atoms (fractional coordinates):
Nb (0.0000, 0.0000, 0.0000)  4 Co 2.57, 5 Au 2.73-2.84
Co (0.3700, 0.3700, 0.0000)  4 Nb 2.57, 5 Au 2.80
Au (0.6891, 0.6891, 0.0000)  5 Nb 2.73-2.84, 5 Co 2.80

Space-group type   I4mm (107)



Winner for stability: P



P:
This record from the Alexandria database describes a geometry-optimized Nb2Co2Au structure. The functional is PBE.

Unit cell a=7.5314 b=7.5314 c=2.7571 alpha=90.00 beta=90.00 gamma=90.00
With the nearest neighbours (Å) after each atom.
Atoms (fractional coordinates):
Nb (0.1498, 0.3502, 0.0000)  6 Co 2.58-2.63, 2 Nb 2.76, 2 Au 2.87
Nb (0.3502, 0.8502, 0.0000)  6 Co 2.58-2.63, 2 Nb 2.76, 2 Au 2.87
Nb (0.6498, 0.1498, 0.0000)  6 Co 2.58-2.63, 2 Nb 2.76, 2 Au 2.87
Nb (0.8502, 0.6498, 0.0000)  6 Co 2.58-2.63, 2 Nb 2.76, 2 Au 2.87
Co (0.1395, 0.6395, 0.5000)  6 Nb 2.58-2.63, 2 Co 2.76
Co (0.3605, 0.1395, 0.5000)  6 Nb 2.58-2.63, 2 Co 2.76
Co (0.6395, 0.8605, 0.5000)  6 Nb 2.58-2.63, 2 Co 2.76
Co (0.8605, 0.3605, 0.5000)  6 Nb 2.58-2.63, 2 Co 2.76
Au (0.0000, 0.0000, 0.0000)  2 Au 2.76, 4 Nb 2.87
Au (0.5000, 0.5000, 0.0000)  2 Au 2.76, 4 Nb 2.87

Space-group type   P4/mbm (127)



Q:
This record from the Alexandria database describes a geometry-optimized Nb2Co2Au structure. The functional is PBE.

Unit cell a=6.9505 b=6.9505 c=3.0888 alpha=90.00 beta=90.00 gamma=90.00
With the nearest neighbours (Å) after each atom.
Atoms (fractional coordinates):
Nb (0.1698, 0.3302, 0.0000)  6 Co 2.51-2.60
Nb (0.3302, 0.8302, 0.0000)  6 Co 2.51-2.60
Nb (0.6698, 0.1698, 0.0000)  6 Co 2.51-2.60
Nb (0.8302, 0.6698, 0.0000)  6 Co 2.51-2.60
Co (0.1283, 0.6283, 0.5000)  6 Nb 2.51-2.60, 1 Co 2.52, 2 Au 2.73
Co (0.3717, 0.1283, 0.5000)  6 Nb 2.51-2.60, 1 Co 2.52, 2 Au 2.73
Co (0.6283, 0.8717, 0.5000)  6 Nb 2.51-2.60, 1 Co 2.52, 2 Au 2.73
Co (0.8717, 0.3717, 0.5000)  6 Nb 2.51-2.60, 1 Co 2.52, 2 Au 2.73
Au (0.0000, 0.0000, 0.5000)  4 Co 2.73, 8 Nb 3.01
Au (0.5000, 0.5000, 0.5000)  4 Co 2.73, 8 Nb 3.01

Space-group type   P4/mbm (127)



Winner for stability: Q



P:
This record from the Alexandria database describes a geometry-optimized Nd3CoAu structure. The functional is PBE.

Unit cell a=8.4656 b=3.9051 c=8.5722 alpha=90.00 beta=108.83 gamma=90.00
With the nearest neighbours (Å) after each atom.
Atoms (fractional coordinates):
Nd (0.0544, 0.2500, 0.2389)  3 Co 2.83-2.90
Nd (0.3185, 0.2500, 0.9671)  2 Au 3.02
Nd (0.3321, 0.7500, 0.6045)  3 Co 2.96-3.18, 3 Au 3.15-3.20
Nd (0.6679, 0.2500, 0.3955)  3 Co 2.96-3.18, 3 Au 3.15-3.20
Nd (0.6815, 0.7500, 0.0329)  2 Au 3.02
Nd (0.9456, 0.7500, 0.7611)  3 Co 2.83-2.90
Co (0.0606, 0.2500, 0.5714)  2 Co 2.36
Co (0.9394, 0.7500, 0.4286)  2 Co 2.36
Au (0.3562, 0.7500, 0.2459)  7 Nd 3.02-3.20
Au (0.6438, 0.2500, 0.7541)  7 Nd 3.02-3.20

Space-group type   P2_1/m (11)



Q:
This record from the Alexandria database describes a geometry-optimized Nd3CoAu structure. The functional is PBE.

Unit cell a=8.3457 b=8.3457 c=8.4366 alpha=92.25 beta=92.25 gamma=26.82
With the nearest neighbours (Å) after each atom.
Atoms (fractional coordinates):
Nd (0.0529, 0.0529, 0.3046)  4 Au 3.06-3.32
Nd (0.2433, 0.2433, 0.7002)  3 Co 2.87-3.04, 2 Au 3.20
Nd (0.3980, 0.3980, 0.0485)  3 Co 2.83-2.91
Nd (0.6020, 0.6020, 0.9515)  3 Co 2.83-2.91
Nd (0.7567, 0.7567, 0.2998)  3 Co 2.87-3.04, 2 Au 3.20
Nd (0.9471, 0.9471, 0.6954)  4 Au 3.06-3.32
Co (0.2189, 0.2189, 0.0558)  2 Co 2.39
Co (0.7811, 0.7811, 0.9442)  2 Co 2.39
Au (0.4018, 0.4018, 0.4253)  7 Nd 3.06-3.32, 1 Au 3.38
Au (0.5982, 0.5982, 0.5747)  7 Nd 3.06-3.32, 1 Au 3.38

Space-group type   C2/m (12)



Winner for stability: P



P:
This record from the Alexandria database describes a geometry-optimized Co2NiAu structure. The functional is PBE.

Unit cell a=4.5152 b=4.5152 c=4.5627 alpha=99.86 beta=99.86 gamma=34.31
With the nearest neighbours (Å) after each atom.
Atoms (fractional coordinates):
Co (0.2443, 0.2443, 0.2212)  4 Co 2.44-2.66, 3 Ni 2.54-2.59, 3 Au 2.65-2.69
Co (0.7557, 0.7557, 0.7788)  4 Co 2.44-2.66, 3 Ni 2.54-2.59, 3 Au 2.65-2.69
Ni (0.5000, 0.5000, 0.0000)  6 Co 2.54-2.59, 4 Au 2.64, 2 Ni 2.66
Au (0.0000, 0.0000, 0.5000)  4 Ni 2.64, 6 Co 2.65-2.69, 2 Au 2.66

Space-group type   C2/m (12)



Q:
This record from the Alexandria database describes a geometry-optimized Co2NiAu structure. The functional is PBE.

Unit cell a=3.6642 b=3.6642 c=3.8117 alpha=90.00 beta=90.00 gamma=90.00
With the nearest neighbours (Å) after each atom.
Atoms (fractional coordinates):
Co (0.0000, 0.5000, 0.0000)  4 Co 2.59, 4 Ni 2.64, 4 Au 2.64
Co (0.5000, 0.0000, 0.0000)  4 Co 2.59, 4 Ni 2.64, 4 Au 2.64
Ni (0.0000, 0.0000, 0.5000)  4 Au 2.59, 8 Co 2.64
Au (0.5000, 0.5000, 0.5000)  4 Ni 2.59, 8 Co 2.64

Space-group type   P4/mmm (123)



Winner for stability: Q



P:
This record from the Alexandria database describes a geometry-optimized CoNiAu structure. The functional is PBE.

Unit cell a=4.0490 b=4.0490 c=4.0490 alpha=60.00 beta=60.00 gamma=60.00
With the nearest neighbours (Å) after each atom.
Atoms (fractional coordinates):
Co (0.0000, 0.0000, 0.0000)  4 Ni 2.48, 4 Au 2.48
Ni (0.7500, 0.7500, 0.7500)  4 Co 2.48
Au (0.2500, 0.2500, 0.2500)  4 Co 2.48

Space-group type   F-43m (216)



Q:
This record from the Alexandria database describes a geometry-optimized CoNiAu structure. The functional is PBE.

Unit cell a=5.7093 b=5.7093 c=5.7093 alpha=152.21 beta=152.21 gamma=39.71
With the nearest neighbours (Å) after each atom.
Atoms (fractional coordinates):
Co (0.0000, 0.0000, 0.0000)  4 Ni 2.42
Ni (0.6354, 0.6354, 0.0000)  4 Co 2.42
Au (0.3174, 0.3174, 0.0000)  4 Au 2.74, 4 Ni 2.75, 4 Co 2.76

Space-group type   I4mm (107)



Winner for stability: Q